Entry 1:
Zn2ReP: optimized geometry, PBE-GGA.

size of the total moment	0.00	μB/cell
SG	Amm2, No. 38
ΔH_f (0 K)	150	meV/atom
total energy	-4.9519	eV per atom

Unit cell a=3.833 b=5.168 c=5.168 alpha=36.57 beta=90.00 gamma=90.00
Fractional positions:
Zn (0.000, 0.000, 0.000)
Zn (0.500, 0.347, 0.347)
Re (0.000, 0.731, 0.731)
P (0.500, 0.605, 0.605)


Entry 2:
NiMo3Rh4: optimized geometry, PBE-GGA.

size of the total moment	0.00	μB/cell
SG	I4/mmm, No. 139
ΔH_f (0 K)	-161	meV/atom
total energy	-8.6209	eV per atom

Unit cell a=8.108 b=8.108 c=8.108 alpha=152.33 beta=152.33 gamma=39.53
Fractional positions:
Ni (0.000, 0.000, 0.000)
Mo (0.247, 0.247, 0.000)
Mo (0.500, 0.500, 0.000)
Mo (0.753, 0.753, 0.000)
Rh (0.121, 0.621, 0.500)
Rh (0.379, 0.879, 0.500)
Rh (0.621, 0.121, 0.500)
Rh (0.879, 0.379, 0.500)


Entry 3:
Pm4Dy3Er2: optimized geometry, PBE-GGA.

size of the total moment	0.00	μB/cell
SG	C2/m, No. 12
ΔH_f (0 K)	19	meV/atom
total energy	-4.6400	eV per atom

Unit cell a=8.018 b=8.018 c=8.006 alpha=107.47 beta=107.47 gamma=36.80
Fractional positions:
Pm (0.054, 0.054, 0.331)
Pm (0.277, 0.277, 0.668)
Pm (0.723, 0.723, 0.332)
Pm (0.946, 0.946, 0.669)
Dy (0.389, 0.389, 0.331)
Dy (0.500, 0.500, 0.000)
Dy (0.611, 0.611, 0.669)
Er (0.167, 0.167, 0.000)
Er (0.833, 0.833, 0.000)


Entry 4:
MgPa3Ni8: optimized geometry, PBE-GGA.

size of the total moment	0.00	μB/cell
SG	P3m1, No. 156
ΔH_f (0 K)	-377	meV/atom
total energy	-6.7385	eV per atom

Unit cell a=4.949 b=4.949 c=8.320 alpha=90.00 beta=90.00 gamma=120.00
Fractional positions:
Mg (0.000, 0.000, 0.000)
Pa (0.000, 0.000, 0.368)
Pa (0.667, 0.333, 0.496)
Pa (0.667, 0.333, 0.885)
Ni (0.003, 0.501, 0.186)
Ni (0.167, 0.333, 0.695)
Ni (0.167, 0.833, 0.695)
Ni (0.333, 0.667, 0.448)
Ni (0.333, 0.667, 0.942)
Ni (0.499, 0.501, 0.186)
Ni (0.499, 0.997, 0.186)
Ni (0.667, 0.833, 0.695)


Entry 5:
Ca2TlPb: optimized geometry, PBE-GGA.

size of the total moment	0.00	μB/cell
SG	Cmmm, No. 65
ΔH_f (0 K)	-490	meV/atom
total energy	-3.0096	eV per atom

Unit cell a=5.628 b=5.628 c=3.786 alpha=90.00 beta=90.00 gamma=90.08
Fractional positions:
Ca (0.000, 0.500, 0.000)
Ca (0.500, 0.000, 0.000)
Tl (0.000, 0.000, 0.500)
Pb (0.500, 0.500, 0.500)


Entry 6:
AcAl3PtAu: optimized geometry, PBE-GGA.

size of the total moment	0.00	μB/cell
SG	Cmcm, No. 63
ΔH_f (0 K)	-566	meV/atom
total energy	-4.6749	eV per atom

Unit cell a=7.229 b=7.229 c=6.503 alpha=90.00 beta=90.00 gamma=124.94
Fractional positions:
Ac (0.232, 0.768, 0.750)
Ac (0.768, 0.232, 0.250)
Al (0.204, 0.796, 0.250)
Al (0.283, 0.283, 0.000)
Al (0.283, 0.283, 0.500)
Al (0.717, 0.717, 0.000)
Al (0.717, 0.717, 0.500)
Al (0.796, 0.204, 0.750)
Pt (0.023, 0.977, 0.250)
Pt (0.977, 0.023, 0.750)
Au (0.391, 0.609, 0.250)
Au (0.609, 0.391, 0.750)


Entry 7:
CoIr2Cl: optimized geometry, PBE-GGA.

size of the total moment	2.63	μB/cell
uncorrected formation energy	4.67	eV/f.u.
SG	P4/mmm, No. 123
total energy	-5.5010	eV per atom

Unit cell a=3.894 b=3.894 c=3.838 alpha=90.00 beta=90.00 gamma=90.00
Fractional positions:
Co (0.000, 0.000, 0.000)
Ir (0.000, 0.500, 0.500)
Ir (0.500, 0.000, 0.500)
Cl (0.500, 0.500, 0.000)


Entry 8:
Li2Mg2In7: optimized geometry, PBE-GGA.

size of the total moment	0.00	μB/cell
SG	Imm2, No. 44
ΔH_f (0 K)	-94	meV/atom
total energy	-2.4746	eV per atom

Unit cell a=8.259 b=8.259 c=8.259 alpha=147.94 beta=71.86 gamma=117.63
Fractional positions:
Li (0.201, 0.000, 0.201)
Li (0.799, 0.000, 0.799)
Mg (0.209, 0.209, 0.000)
Mg (0.505, 0.005, 0.500)
In (0.058, 0.711, 0.347)
In (0.348, 0.499, 0.849)
In (0.364, 0.711, 0.653)
In (0.624, 0.280, 0.343)
In (0.650, 0.499, 0.151)
In (0.846, 0.846, 0.000)
In (0.937, 0.280, 0.657)


Entry 9:
CuPCl2: optimized geometry, PBE-GGA.

size of the total moment	0.00	μB/cell
uncorrected formation energy	1.48	eV/f.u.
SG	I-4m2, No. 119
total energy	-2.9291	eV per atom

Unit cell a=7.716 b=7.716 c=7.716 alpha=153.86 beta=153.86 gamma=37.30
Fractional positions:
Cu (0.000, 0.000, 0.000)
P (0.250, 0.750, 0.500)
Cl (0.500, 0.500, 0.000)
Cl (0.750, 0.250, 0.500)


Entry 10:
Cu2SnF: optimized geometry, PBE-GGA.

size of the total moment	0.00	μB/cell
uncorrected formation energy	-1.56	eV/f.u.
SG	I-42d, No. 122
total energy	-3.9057	eV per atom

Unit cell a=5.555 b=5.555 c=5.555 alpha=101.53 beta=101.53 gamma=126.88
Fractional positions:
Cu (0.089, 0.625, 0.964)
Cu (0.375, 0.339, 0.464)
Cu (0.661, 0.125, 0.036)
Cu (0.875, 0.911, 0.536)
Sn (0.250, 0.750, 0.500)
Sn (0.500, 0.500, 0.000)
F (0.000, 0.000, 0.000)
F (0.750, 0.250, 0.500)


Entry 11:
P2OsOF: optimized geometry, PBE-GGA.

size of the total moment	0.00	μB/cell
uncorrected formation energy	-0.04	eV/f.u.
SG	P4/mmm, No. 123
total energy	-5.7846	eV per atom

Unit cell a=4.668 b=4.668 c=3.703 alpha=90.00 beta=90.00 gamma=90.00
Fractional positions:
P (0.000, 0.500, 0.000)
P (0.500, 0.000, 0.000)
Os (0.000, 0.000, 0.000)
O (0.000, 0.000, 0.500)
F (0.500, 0.500, 0.500)


Entry 12:
TbPmPt6: optimized geometry, PBE-GGA.

size of the total moment	0.00	μB/cell
SG	Pm-3, No. 200
ΔH_f (0 K)	-628	meV/atom
total energy	-6.3315	eV per atom

Unit cell a=5.342 b=5.342 c=5.342 alpha=90.00 beta=90.00 gamma=90.00
Fractional positions:
Tb (0.000, 0.000, 0.000)
Pm (0.500, 0.500, 0.500)
Pt (0.000, 0.500, 0.249)
Pt (0.000, 0.500, 0.751)
Pt (0.249, 0.000, 0.500)
Pt (0.500, 0.249, 0.000)
Pt (0.500, 0.751, 0.000)
Pt (0.751, 0.000, 0.500)